Below is a relaxed K2LaSi crystal, with properties calculated at the PBE-GGA level.

Geometry as CIF:
```
data_K2LaSi
_chemical_formula_sum 'K2 La1 Si1'
_cell_length_a 4.391
_cell_length_b 4.177
_cell_length_c 10.358
_cell_angle_alpha 90.00
_cell_angle_beta 102.01
_cell_angle_gamma 90.00
_space_group_name_H-M_alt 'P 1 m 1'
_space_group_IT_number 6
loop_
_space_group_symop_operation_xyz
'x,y,z'
'x,-y,z'
loop_
_atom_site_label
_atom_site_type_symbol
_atom_site_fract_x
_atom_site_fract_y
_atom_site_fract_z
K1 K 0.000 0.000 0.000
K2 K 0.312 0.500 0.630
La1 La 0.662 0.000 0.324
Si1 Si 0.140 0.500 0.281
```

Summary:
For the total energy, the calculation gives -3.184 eV per atom. As for the uncorrected formation energy: -48 meV per atom.